<P>
## ZrSnF3 (GGA-PBE)

Data for a relaxed structure of ZrSnF3.

Unit cell a=4.6429 b=4.6429 c=4.6429 alpha=90.00 beta=90.00 gamma=90.00
Space group Pm-3m (No. 221)
Inequivalent atoms, fractional coordinates:
Zr 0.0000 0.0000 0.0000 [1 per cell]
Sn 0.5000 0.5000 0.5000 [1 per cell]
F 0.0000 0.5000 0.5000 [3 per cell]

Computed properties:
total magnetic moment	3.0	μB per formula unit
density of states at the Fermi level	13.856	states/eV/f.u.

---

<Q>
## ZrSnF3 (GGA-PBE)

Data for a relaxed structure of ZrSnF3.

Unit cell a=4.4215 b=4.4215 c=4.4215 alpha=90.00 beta=90.00 gamma=90.00
Space group Pm-3m (No. 221)
Inequivalent atoms, fractional coordinates:
Zr 0.0000 0.0000 0.0000 [1 per cell]
Sn 0.5000 0.5000 0.5000 [1 per cell]
F 0.0000 0.0000 0.5000 [3 per cell]

Computed properties:
total magnetic moment	1.5	μB per formula unit
density of states at the Fermi level	6.276	states/eV/f.u.

---

Unit: meV per atom. Relative energies: <P> 884; <Q> 0.

---

<P>
## SrF (GGA-PBE)

Data for a relaxed structure of SrF.

Unit cell a=4.2483 b=12.3610 c=6.1072 alpha=90.00 beta=90.00 gamma=90.00
Space group Pmmn (No. 59, origin choice 2)
Inequivalent atoms, fractional coordinates:
Sr 0.2500 0.0827 0.2197 [4 per cell]
Sr 0.2500 0.7500 0.2724 [2 per cell]
F 0.2500 0.2500 0.4406 [2 per cell]
F 0.2500 0.5920 0.9961 [4 per cell]

Computed properties:
total magnetic moment	0.3	μB per formula unit
density of states at the Fermi level	0.539	states/eV/f.u.

---

<Q>
## SrF (GGA-PBE)

Data for a relaxed structure of SrF.

Unit cell a=5.9629 b=5.9629 c=5.9629 alpha=90.00 beta=90.00 gamma=90.00
Space group F-43m (No. 216)
Inequivalent atoms, fractional coordinates:
Sr 0.0000 0.0000 0.0000 [4 per cell]
F 0.2500 0.2500 0.2500 [4 per cell]

Computed properties:
total magnetic moment	0.7	μB per formula unit
density of states at the Fermi level	1.953	states/eV/f.u.

---

Unit: meV per atom. Relative energies: <P> 0; <Q> 129.

---

<P>
## SrF (GGA-PBE)

Data for a relaxed structure of SrF.

Unit cell a=6.9229 b=7.0928 c=8.5848 alpha=90.00 beta=90.00 gamma=90.00
Space group P2_12_12_1 (No. 19)
Inequivalent atoms, fractional coordinates:
Sr 0.2242 0.0242 0.0012 [4 per cell]
Sr 0.2365 0.5349 0.2284 [4 per cell]
F 0.0938 0.9103 0.2557 [4 per cell]
F 0.1428 0.6393 0.4951 [4 per cell]

Computed properties:
total magnetic moment	0.0	μB per formula unit
density of states at the Fermi level	0.399	states/eV/f.u.

---

<Q>
## SrF (GGA-PBE)

Data for a relaxed structure of SrF.

Unit cell a=10.5248 b=10.5248 c=4.2091 alpha=90.00 beta=90.00 gamma=90.00
Space group P4/m (No. 83)
Inequivalent atoms, fractional coordinates:
Sr 0.0702 0.3020 0.0000 [4 per cell]
Sr 0.2462 0.5864 0.5000 [4 per cell]
F 0.1337 0.5334 0.0000 [4 per cell]
F 0.2025 0.3535 0.5000 [4 per cell]

Computed properties:
total magnetic moment	0.1	μB per formula unit
density of states at the Fermi level	0.759	states/eV/f.u.

---

<R>
## SrF (GGA-PBE)

Data for a relaxed structure of SrF.

Unit cell a=7.3030 b=4.2184 c=7.1080 alpha=90.00 beta=109.93 gamma=90.00
Space group C2/m (No. 12)
Inequivalent atoms, fractional coordinates:
Sr 0.0000 0.0000 0.0000 [2 per cell]
Sr 0.0000 0.5000 0.5000 [2 per cell]
F 0.1241 0.0000 0.3713 [4 per cell]

Computed properties:
total magnetic moment	0.0	μB per formula unit
density of states at the Fermi level	0.696	states/eV/f.u.

---

<S>
## SrF (GGA-PBE)

Data for a relaxed structure of SrF.

Unit cell a=4.2436 b=4.2436 c=6.7843 alpha=90.00 beta=90.00 gamma=120.00
Space group P6_3mc (No. 186)
Inequivalent atoms, fractional coordinates:
Sr 0.3333 0.6667 0.0000 [2 per cell]
F 0.3333 0.6667 0.6097 [2 per cell]

Computed properties:
total magnetic moment	0.5	μB per formula unit
density of states at the Fermi level	1.366	states/eV/f.u.

---

Unit: meV per atom. Relative energies: <P> 65; <Q> 106; <R> 0; <S> 211.

---

<P>
## SrF (GGA-PBE)

Data for a relaxed structure of SrF.

Unit cell a=7.1241 b=7.1241 c=4.2010 alpha=90.00 beta=90.00 gamma=90.00
Space group P4_2/mnm (No. 136)
Inequivalent atoms, fractional coordinates:
Sr 0.2031 0.2031 0.0000 [4 per cell]
F 0.1479 0.8521 0.0000 [4 per cell]

Computed properties:
total magnetic moment	0.1	μB per formula unit
density of states at the Fermi level	1.169	states/eV/f.u.

---

<Q>
## SrF (GGA-PBE)

Data for a relaxed structure of SrF.

Unit cell a=9.7527 b=9.7527 c=4.2238 alpha=90.00 beta=90.00 gamma=120.00
Space group P6_3/m (No. 176)
Inequivalent atoms, fractional coordinates:
Sr 0.1201 0.7015 0.2500 [6 per cell]
F 0.0356 0.4062 0.2500 [6 per cell]

Computed properties:
total magnetic moment	0.0	μB per formula unit
density of states at the Fermi level	0.775	states/eV/f.u.

---

<R>
## SrF (GGA-PBE)

Data for a relaxed structure of SrF.

Unit cell a=7.1371 b=7.1371 c=7.1371 alpha=90.00 beta=90.00 gamma=90.00
Space group Pm-3n (No. 223)
Inequivalent atoms, fractional coordinates:
Sr 0.0000 0.2500 0.5000 [6 per cell]
F 0.0000 0.5000 0.2500 [6 per cell]

Computed properties:
total magnetic moment	0.0	μB per formula unit
density of states at the Fermi level	1.306	states/eV/f.u.

---

Unit: meV per atom. Relative energies: <P> 45; <Q> 0; <R> 135.

---

<P>
## SrF (GGA-PBE)

Data for a relaxed structure of SrF.

Unit cell a=8.2348 b=8.9084 c=11.7663 alpha=90.00 beta=90.00 gamma=90.00
Space group Fddd (No. 70, origin choice 2)
Inequivalent atoms, fractional coordinates:
Sr 0.1250 0.3547 0.1250 [16 per cell]
F 0.1250 0.1250 0.2521 [16 per cell]

Computed properties:
total magnetic moment	0.0	μB per formula unit
density of states at the Fermi level	0.601	states/eV/f.u.

---

<Q>
## SrF (GGA-PBE)

Data for a relaxed structure of SrF.

Unit cell a=10.2606 b=10.2606 c=4.2194 alpha=90.00 beta=90.00 gamma=90.00
Space group I4/m (No. 87)
Inequivalent atoms, fractional coordinates:
Sr 0.0786 0.2718 0.0000 [8 per cell]
F 0.1638 0.7049 0.0000 [8 per cell]

Computed properties:
total magnetic moment	0.0	μB per formula unit
density of states at the Fermi level	0.828	states/eV/f.u.

---

Unit: meV per atom. Relative energies: <P> 0; <Q> 96.

---

<P>
## SrF (GGA-PBE)

Data for a relaxed structure of SrF.

Unit cell a=4.4570 b=7.1561 c=6.5013 alpha=90.00 beta=90.00 gamma=90.00
Space group Ama2 (No. 40)
Inequivalent atoms, fractional coordinates:
Sr 0.2500 0.2127 0.0000 [4 per cell]
F 0.2500 0.3777 0.6598 [4 per cell]

Computed properties:
total magnetic moment	0.0	μB per formula unit
density of states at the Fermi level	0.447	states/eV/f.u.

---

<Q>
## SrF (GGA-PBE)

Data for a relaxed structure of SrF.

Unit cell a=4.2285 b=4.2291 c=6.1506 alpha=90.00 beta=90.07 gamma=90.00
Space group P2_1/m (No. 11)
Inequivalent atoms, fractional coordinates:
Sr 0.2494 0.2500 0.2768 [2 per cell]
F 0.2500 0.7500 0.4999 [2 per cell]

Computed properties:
total magnetic moment	0.0	μB per formula unit
density of states at the Fermi level	0.592	states/eV/f.u.

---

Unit: meV per atom. Relative energies: <P> 144; <Q> 0.

---

<P>
## SrF (GGA-PBE)

Data for a relaxed structure of SrF.

Unit cell a=5.6391 b=5.6391 c=5.6391 alpha=90.00 beta=90.00 gamma=90.00
Space group Fm-3m (No. 225)
Inequivalent atoms, fractional coordinates:
Sr 0.0000 0.0000 0.0000 [4 per cell]
F 0.0000 0.0000 0.5000 [4 per cell]

Computed properties:
total magnetic moment	0.6	μB per formula unit
density of states at the Fermi level	1.652	states/eV/f.u.

---

<Q>
## SrF (GGA-PBE)

Data for a relaxed structure of SrF.

Unit cell a=4.2099 b=12.5928 c=6.1079 alpha=90.00 beta=90.00 gamma=90.00
Space group Imm2 (No. 44)
Inequivalent atoms, fractional coordinates:
Sr 0.0000 0.0000 0.0000 [2 per cell]
Sr 0.0000 0.3306 0.9488 [4 per cell]
F 0.0000 0.1723 0.2088 [4 per cell]
F 0.0000 0.5000 0.7236 [2 per cell]

Computed properties:
total magnetic moment	0.0	μB per formula unit
density of states at the Fermi level	0.847	states/eV/f.u.

---

Unit: meV per atom. Relative energies: <P> 484; <Q> 0.

---

<P>
## SrF5 (GGA-PBE)

Data for a relaxed structure of SrF5.

Unit cell a=3.9219 b=10.3048 c=5.4474 alpha=90.00 beta=108.55 gamma=90.00
Space group P2_1/m (No. 11)
Inequivalent atoms, fractional coordinates:
Sr 0.0458 0.2500 0.2395 [2 per cell]
F 0.0921 0.5669 0.4800 [4 per cell]
F 0.3218 0.7500 0.4560 [2 per cell]
F 0.4408 0.1528 0.0068 [4 per cell]

Computed properties:
total magnetic moment	1.0	μB per formula unit

---

<Q>
## SrF5 (GGA-PBE)

Data for a relaxed structure of SrF5.

Unit cell a=4.4574 b=8.4983 c=4.1520 alpha=90.00 beta=90.00 gamma=90.00
Space group Cmmm (No. 65)
Inequivalent atoms, fractional coordinates:
Sr 0.0000 0.0000 0.0000 [2 per cell]
F 0.0000 0.1760 0.5000 [4 per cell]
F 0.0000 0.3494 0.0000 [4 per cell]
F 0.0000 0.5000 0.5000 [2 per cell]

Computed properties:
total magnetic moment	3.0	μB per formula unit
density of states at the Fermi level	5.971	states/eV/f.u.

---

Unit: meV per atom. Relative energies: <P> 0; <Q> 190.

---

<P>
## Sr2TaF (GGA-PBE)

Data for a relaxed structure of Sr2TaF.

Unit cell a=7.6180 b=7.6180 c=8.3654 alpha=90.00 beta=90.00 gamma=90.00
Space group I-42d (No. 122)
Inequivalent atoms, fractional coordinates:
Sr 0.1476 0.2500 0.1250 [8 per cell]
Ta 0.0000 0.0000 0.5000 [4 per cell]
F 0.0000 0.0000 0.0000 [4 per cell]

Computed properties:
total magnetic moment	3.9	μB per formula unit
density of states at the Fermi level	4.667	states/eV/f.u.

---

<Q>
## Sr2TaF (GGA-PBE)

Data for a relaxed structure of Sr2TaF.

Unit cell a=7.9088 b=7.9088 c=7.9088 alpha=90.00 beta=90.00 gamma=90.00
Space group Fm-3m (No. 225)
Inequivalent atoms, fractional coordinates:
Sr 0.2500 0.2500 0.2500 [8 per cell]
Ta 0.0000 0.0000 0.0000 [4 per cell]
F 0.0000 0.0000 0.5000 [4 per cell]

Computed properties:
total magnetic moment	6.0	μB per formula unit
density of states at the Fermi level	1.358	states/eV/f.u.

---

Unit: meV per atom. Relative energies: <P> 0; <Q> 550.